Density functional theory data (PBE) for a relaxed TcPbBrO4 crystal.

Summary:
Raw formation energy in kJ/mol of atoms: -124.4
Final energy in eV/atom: -6.373

a b c (Å): 11.363 7.926 7.518
angles (deg): 90.00 106.65 90.00
Space group C2/m (No. 12)
Symmetry-distinct sites (fractional):
Tc (0.139, 0.000, 0.265) [4 per cell]
Pb (0.200, 0.500, 0.129) [4 per cell]
Br (0.018, 0.500, 0.756) [4 per cell]
O (0.018, 0.000, 0.777) [4 per cell]
O (0.184, 0.178, 0.162) [8 per cell]
O (0.208, 0.000, 0.503) [4 per cell]